## Cr2AsN (PBEsol)

Data for an optimized crystal structure of Cr2AsN.

Summary:
As for the density of states at the Fermi level: 5.3 states/eV per cell. Its crystal system is tetragonal. The calculation puts the total energy at -8.662 eV/atom. As for the energy relative to the elements, uncorrected: -132.7 meV per atom. As for the space group: I-42d (122). Its calculated volume is 14.1 Å³/atom.

Cell: 5.7627 5.7627 5.7627 Å, 128.89 128.89 75.18°
Closest atoms and distances in Å follow each position.
Fractional positions:
1 Cr 0.0344 0.6250 0.9094  2 N 1.86
2 Cr 0.3750 0.2844 0.4094  2 N 1.86
3 Cr 0.7156 0.1250 0.0906  2 N 1.86
4 Cr 0.8750 0.9656 0.5906  2 N 1.86
5 As 0.2500 0.7500 0.5000  4 Cr 2.39
6 As 0.5000 0.5000 0.0000  4 Cr 2.39
7 N 0.0000 0.0000 0.0000  4 Cr 1.86
8 N 0.7500 0.2500 0.5000  4 Cr 1.86